Entry 1:
VASP calculation (PBE) on TbSi2Ag4 after structural relaxation.

a = 7.845 Å, b = 7.845 Å, c = 4.114 Å
α = 90.00°, β = 90.00°, γ = 149.27°
Atoms (fractional coordinates):
1 Tb 0.000 0.000 0.000
2 Si 0.425 0.575 0.500
3 Si 0.575 0.425 0.500
4 Ag 0.177 0.823 0.500
5 Ag 0.321 0.679 0.000
6 Ag 0.679 0.321 0.000
7 Ag 0.823 0.177 0.500

Results
* magnetization: 0.000 Bohr magnetons per cell
* formation energy from raw total energies: -0.2544 eV/atom
* space-group type: Cmmm (65)
* E_tot: -0.3009 Ry per atom

***

Entry 2:
VASP calculation (PBE) on LaBi2Ir after structural relaxation.

a = 5.254 Å, b = 5.254 Å, c = 5.254 Å
α = 60.00°, β = 60.00°, γ = 60.00°
Atoms (fractional coordinates):
1 La 0.000 0.000 0.000
2 Bi 0.250 0.250 0.250
3 Bi 0.750 0.750 0.750
4 Ir 0.500 0.500 0.500

Results
* magnetization: 0.000 Bohr magnetons per cell
* formation energy from the elements: -2.6 kJ per mole of atoms
* space-group type: Fm-3m (225)
* E_tot: -0.3980 Ry per atom

***

Entry 3:
VASP calculation (PBE) on AcLaPmSm after structural relaxation.

a = 6.454 Å, b = 6.454 Å, c = 6.454 Å
α = 131.15°, β = 131.15°, γ = 71.58°
Atoms (fractional coordinates):
1 Ac 0.000 0.000 0.000
2 La 0.500 0.500 0.000
3 Pm 0.750 0.250 0.500
4 Sm 0.250 0.750 0.500

Results
* magnetization: 0.000 Bohr magnetons per cell
* formation energy from the elements: 2.9 kJ per mole of atoms
* space-group type: I-4m2 (119)
* E_tot: -0.3378 Ry per atom
* energy above the lowest structure with this stoichiometry: 0.0 meV/atom

***

Entry 4:
VASP calculation (PBE) on CaMnAs2Ru after structural relaxation.

a = 6.610 Å, b = 6.610 Å, c = 6.610 Å
α = 145.19°, β = 145.19°, γ = 50.05°
Atoms (fractional coordinates):
1 Ca 0.000 0.000 0.000
2 Mn 0.250 0.750 0.500
3 As 0.371 0.371 0.000
4 As 0.629 0.629 0.000
5 Ru 0.750 0.250 0.500

Results
* magnetization: 2.547 Bohr magnetons per cell
* formation energy from the elements: -55.1 kJ per mole of atoms
* space-group type: I-4m2 (119)
* E_tot: -0.4793 Ry per atom

***

Entry 5:
VASP calculation (PBE) on Ba2C after structural relaxation.

a = 14.310 Å, b = 14.310 Å, c = 4.249 Å
α = 90.00°, β = 90.00°, γ = 165.08°
Atoms (fractional coordinates):
1 Ba 0.073 0.927 0.750
2 Ba 0.180 0.820 0.250
3 Ba 0.820 0.180 0.750
4 Ba 0.927 0.073 0.250
5 C 0.390 0.610 0.750
6 C 0.610 0.390 0.250

Results
* magnetization: 0.791 Bohr magnetons per cell
* formation energy from the elements: 75.2 kJ per mole of atoms
* space-group type: Cmcm (63)
* E_tot: -0.2629 Ry per atom
* energy above the lowest structure with this stoichiometry: 642.6 meV/atom

***

Entry 6:
VASP calculation (PBE) on FeAsN3 after structural relaxation.

a = 3.682 Å, b = 3.682 Å, c = 3.682 Å
α = 90.00°, β = 90.00°, γ = 90.00°
Atoms (fractional coordinates):
1 Fe 0.000 0.000 0.000
2 As 0.500 0.500 0.500
3 N 0.000 0.000 0.500
4 N 0.000 0.500 0.000
5 N 0.500 0.000 0.000

Results
* magnetization: 0.000 Bohr magnetons per cell
* formation energy from raw total energies: 1.3925 eV/atom
* space-group type: Pm-3m (221)
* E_tot: -0.4575 Ry per atom

***

Repeat the first record exactly.
VASP calculation (PBE) on TbSi2Ag4 after structural relaxation.

a = 7.845 Å, b = 7.845 Å, c = 4.114 Å
α = 90.00°, β = 90.00°, γ = 149.27°
Atoms (fractional coordinates):
1 Tb 0.000 0.000 0.000
2 Si 0.425 0.575 0.500
3 Si 0.575 0.425 0.500
4 Ag 0.177 0.823 0.500
5 Ag 0.321 0.679 0.000
6 Ag 0.679 0.321 0.000
7 Ag 0.823 0.177 0.500

Results
* magnetization: 0.000 Bohr magnetons per cell
* formation energy from raw total energies: -0.2544 eV/atom
* space-group type: Cmmm (65)
* E_tot: -0.3009 Ry per atom

***

Copy entry 3 word for word.
VASP calculation (PBE) on AcLaPmSm after structural relaxation.

a = 6.454 Å, b = 6.454 Å, c = 6.454 Å
α = 131.15°, β = 131.15°, γ = 71.58°
Atoms (fractional coordinates):
1 Ac 0.000 0.000 0.000
2 La 0.500 0.500 0.000
3 Pm 0.750 0.250 0.500
4 Sm 0.250 0.750 0.500

Results
* magnetization: 0.000 Bohr magnetons per cell
* formation energy from the elements: 2.9 kJ per mole of atoms
* space-group type: I-4m2 (119)
* E_tot: -0.3378 Ry per atom
* energy above the lowest structure with this stoichiometry: 0.0 meV/atom

***

> Which of these has the highest E_tot?

Ba2C

***

> Which of these has the lowest E_tot?

CaMnAs2Ru